(1)
{"formula": "BC3", "functional": "PBE-GGA", "state": "relaxed", "e_above_lowest_polymorph_mev_per_atom": 73.5, "magmom_total_mub_per_cell": 0.000, "energy_ev_per_cell": -99.28, "formation_enthalpy_0k_mev_per_atom": 314, "lattice": [[-0.3403, 0.0915, 2.4860], [2.1173, -3.1440, 0.4055], [6.3730, 4.3911, 0.7109]], "species": ["C", "C", "C", "C", "C", "C", "C", "C", "C", "B", "B", "B"], "fractional_positions": [[0.5000, 0.7634, 0.6713], [0.0000, 0.2204, 0.5024], [0.5000, 0.7273, 0.9911], [0.0000, 0.2275, 0.1739], [0.5000, 0.7655, 0.3361], [0.0000, 0.2635, 0.8256], [0.0000, 0.0016, 0.6684], [0.0000, 0.9983, 0.3353], [0.5000, 0.4990, 0.8290], [0.5000, 0.5142, 0.5007], [0.0000, 0.0131, 0.9978], [0.5000, 0.5062, 0.1682]]}

***

(2)
{"formula": "KC3", "functional": "PBE-GGA", "state": "relaxed", "e_above_lowest_polymorph_mev_per_atom": 3512.9, "magmom_total_mub_per_cell": 0.002, "energy_ev_per_cell": -24.87, "formation_enthalpy_0k_mev_per_atom": 4083, "lattice": [[4.7562, 0.0000, 0.0000], [0.0000, 4.7562, 0.0000], [0.0000, 0.0000, 4.7562]], "species": ["C", "C", "C", "C", "C", "C", "K", "K"], "fractional_positions": [[0.2500, 0.5000, 0.0000], [0.5000, 0.0000, 0.2500], [0.0000, 0.2500, 0.5000], [0.7500, 0.5000, 0.0000], [0.0000, 0.7500, 0.5000], [0.5000, 0.0000, 0.7500], [0.0000, 0.0000, 0.0000], [0.5000, 0.5000, 0.5000]]}

***

(3)
{"formula": "KCu2F", "functional": "PBE-GGA", "state": "relaxed", "e_above_lowest_polymorph_mev_per_atom": 1021.3, "magmom_total_mub_per_cell": 0.000, "energy_ev_per_cell": -9.99, "raw_formation_energy_ev_per_atom": 0.2920, "lattice": [[0.0000, 3.3900, 3.3900], [3.3900, 0.0000, 3.3900], [3.3900, 3.3900, 0.0000]], "species": ["Cu", "Cu", "F", "K"], "fractional_positions": [[0.2500, 0.2500, 0.2500], [0.7500, 0.7500, 0.7500], [0.0000, 0.0000, 0.0000], [0.5000, 0.5000, 0.5000]]}

***

(4)
{"formula": "CaSi3W", "functional": "PBE-GGA", "state": "relaxed", "e_above_lowest_polymorph_mev_per_atom": 0.0, "magmom_total_mub_per_cell": 0.000, "energy_ev_per_cell": -30.53, "raw_formation_energy_ev_per_atom": 0.1389, "lattice": [[4.7839, 0.0000, 0.0000], [0.0000, 4.7839, 0.0000], [0.0000, 0.0000, 4.7839]], "species": ["Si", "Si", "Si", "Ca", "W"], "fractional_positions": [[0.0000, 0.0000, 0.5000], [0.5000, 0.0000, 0.0000], [0.0000, 0.5000, 0.0000], [0.5000, 0.5000, 0.5000], [0.0000, 0.0000, 0.0000]]}

***

(5)
{"formula": "Ti3MoP", "functional": "PBE-GGA", "state": "relaxed", "e_above_lowest_polymorph_mev_per_atom": 1198.1, "magmom_total_mub_per_cell": 2.032, "energy_ev_per_cell": -35.62, "formation_enthalpy_0k_mev_per_atom": 860, "lattice": [[4.6870, 0.0000, 0.0000], [0.0000, 4.6870, 0.0000], [0.0000, 0.0000, 4.6870]], "species": ["Ti", "Ti", "Ti", "P", "Mo"], "fractional_positions": [[0.0000, 0.5000, 0.0000], [0.0000, 0.0000, 0.5000], [0.5000, 0.0000, 0.0000], [0.5000, 0.5000, 0.5000], [0.0000, 0.0000, 0.0000]]}

***

(6)
{"formula": "Li2MnCr", "functional": "PBE-GGA", "state": "relaxed", "e_above_lowest_polymorph_mev_per_atom": 109.0, "magmom_total_mub_per_cell": 2.795, "energy_ev_per_cell": -21.10, "formation_enthalpy_0k_mev_per_atom": 381, "lattice": [[-1.2885, 0.1313, 2.0969], [-1.8137, -1.3112, -1.0324], [3.8750, -7.6101, 2.8577]], "species": ["Li", "Li", "Mn", "Cr"], "fractional_positions": [[0.0000, 0.0000, 0.9836], [0.5000, 0.5000, 0.2672], [0.0000, 0.0000, 0.5179], [0.5000, 0.5000, 0.7313]]}

***

(7)
{"formula": "PaSi3Ir", "functional": "PBE-GGA", "state": "relaxed", "e_above_lowest_polymorph_mev_per_atom": 0.0, "magmom_total_mub_per_cell": 0.002, "energy_ev_per_cell": -38.09, "raw_formation_energy_ev_per_atom": -0.6933, "lattice": [[-3.6392, 2.0194, 0.5519], [-0.5580, 0.1311, -4.1591], [-0.2259, -5.3130, 1.9818]], "species": ["Ir", "Pa", "Si", "Si", "Si"], "fractional_positions": [[0.6533, 0.6533, 0.3066], [0.9970, 0.9970, 0.9940], [0.2652, 0.7652, 0.5303], [0.4096, 0.4096, 0.8193], [0.7652, 0.2652, 0.5303]]}

***

(8)
{"formula": "BaTl2Cd4", "functional": "PBE-GGA", "state": "relaxed", "e_above_lowest_polymorph_mev_per_atom": 231.1, "magmom_total_mub_per_cell": 0.000, "energy_ev_per_cell": -9.85, "formation_enthalpy_0k_mev_per_atom": 66, "lattice": [[-3.4443, 3.2796, 5.1872], [-1.0421, -6.8395, -1.2889], [6.7540, 0.3589, 1.9445]], "species": ["Tl", "Tl", "Cd", "Cd", "Cd", "Cd", "Ba"], "fractional_positions": [[0.7500, 0.2500, 0.5000], [0.2500, 0.7500, 0.5000], [0.5000, 0.7310, 0.2310], [0.7310, 0.5000, 0.2310], [0.5000, 0.2690, 0.7690], [0.2690, 0.5000, 0.7690], [0.0000, 0.0000, 0.0000]]}

***

(9)
{"formula": "Mg2AlCrOs", "functional": "PBE-GGA", "state": "relaxed", "magmom_total_mub_per_cell": 2.820, "energy_ev_per_cell": -23.80, "formation_enthalpy_0k_mev_per_atom": 798, "lattice": [[-3.0790, 2.2389, -3.2822], [-3.3762, -2.7830, 1.2688], [-1.3815, 3.2900, 3.5402]], "species": ["Mg", "Mg", "Os", "Al", "Cr"], "fractional_positions": [[0.5000, 0.0000, 0.0000], [0.0000, 0.0000, 0.5000], [0.0000, 0.0000, 0.0000], [0.5000, 0.5000, 0.5000], [0.0000, 0.5000, 0.0000]]}

***

(10)
{"formula": "CeSmTl", "functional": "PBE-GGA", "state": "relaxed", "e_above_lowest_polymorph_mev_per_atom": 7.2, "magmom_total_mub_per_cell": 1.028, "energy_ev_per_cell": -27.27, "formation_enthalpy_0k_mev_per_atom": -205, "lattice": [[3.4904, 0.0000, -0.6501], [0.0000, 5.4153, 0.0000], [-0.1222, 0.0000, 9.0387]], "species": ["Sm", "Sm", "Tl", "Tl", "Ce", "Ce"], "fractional_positions": [[0.4333, 0.2500, 0.8666], [0.5667, 0.7500, 0.1334], [0.8965, 0.7500, 0.7931], [0.1035, 0.2500, 0.2069], [0.2384, 0.7500, 0.4769], [0.7616, 0.2500, 0.5231]]}

***

(11)
{"formula": "KSc3Ru", "functional": "PBE-GGA", "state": "relaxed", "e_above_lowest_polymorph_mev_per_atom": 0.0, "magmom_total_mub_per_cell": 0.000, "energy_ev_per_cell": -29.10, "formation_enthalpy_0k_mev_per_atom": 54, "lattice": [[-0.9949, -2.9888, 4.1073], [4.7888, -1.9477, -0.2573], [1.6941, 3.7505, 3.1395]], "species": ["Ru", "Sc", "Sc", "Sc", "K"], "fractional_positions": [[0.0000, 0.0000, 0.0000], [0.0000, 0.5000, 0.0000], [0.0000, 0.0000, 0.5000], [0.5000, 0.0000, 0.0000], [0.5000, 0.5000, 0.5000]]}

***

(12)
{"formula": "Ca2TlSe2", "functional": "PBE-GGA", "state": "relaxed", "e_above_lowest_polymorph_mev_per_atom": 221.3, "magmom_total_mub_per_cell": 0.984, "energy_ev_per_cell": -18.82, "raw_formation_energy_ev_per_atom": -1.0959, "lattice": [[5.5057, 0.0000, 0.0000], [0.0000, 5.5057, 0.0000], [2.7528, 2.7528, 5.6984]], "species": ["Se", "Se", "Ca", "Ca", "Tl"], "fractional_positions": [[0.2500, 0.7500, 0.5000], [0.7500, 0.2500, 0.5000], [0.6817, 0.6817, 0.6367], [0.3183, 0.3183, 0.3633], [0.0000, 0.0000, 0.0000]]}

***

(13)
{"formula": "NdTmNp2As4", "functional": "PBE-GGA", "state": "relaxed", "magmom_total_mub_per_cell": 0.109, "energy_ev_per_cell": -62.16, "formation_enthalpy_0k_mev_per_atom": -1056, "lattice": [[-2.3003, -2.8345, 1.9019], [5.5726, -4.5179, 0.0066], [0.1286, 3.9232, 6.0025]], "species": ["Tm", "As", "As", "As", "As", "Np", "Np", "Nd"], "fractional_positions": [[0.5000, 0.5000, 0.0000], [0.0000, 0.2556, 0.7472], [0.5000, 0.2592, 0.2580], [0.0000, 0.7444, 0.2528], [0.5000, 0.7408, 0.7420], [0.5000, 0.0000, 0.5000], [0.0000, 0.5000, 0.5000], [0.0000, 0.0000, 0.0000]]}

***

(14)
{"formula": "Tl2HgCl", "functional": "PBE-GGA", "state": "relaxed", "e_above_lowest_polymorph_mev_per_atom": 26.9, "magmom_total_mub_per_cell": 0.000, "energy_ev_per_cell": -8.56, "raw_formation_energy_ev_per_atom": -0.4198, "lattice": [[9.4696, -0.0092, -0.0055], [8.6414, 3.8728, -0.0055], [8.6414, 1.8435, 3.4059]], "species": ["Tl", "Tl", "Hg", "Cl"], "fractional_positions": [[0.5043, 0.5043, 0.5043], [0.9957, 0.9957, 0.9957], [0.7500, 0.7500, 0.7500], [0.2500, 0.2500, 0.2500]]}

***

(15)
{"formula": "Ac2CoPb", "functional": "PBE-GGA", "state": "relaxed", "magmom_total_mub_per_cell": 0.000, "energy_ev_per_cell": -18.76, "formation_enthalpy_0k_mev_per_atom": 67, "lattice": [[-0.1015, -1.2055, 3.8833], [3.0488, -2.2220, 1.5200], [5.8571, 7.4599, 4.5989]], "species": ["Ac", "Ac", "Pb", "Co"], "fractional_positions": [[0.1141, 0.1141, 0.6576], [0.8859, 0.8859, 0.3424], [0.0000, 0.0000, 0.0000], [0.5000, 0.5000, 0.5000]]}

***

(16)
{"formula": "SrMgH2", "functional": "PBE-GGA", "state": "relaxed", "e_above_lowest_polymorph_mev_per_atom": 132.4, "magmom_total_mub_per_cell": 0.083, "energy_ev_per_cell": -9.50, "lattice": [[3.6793, 0.0000, 0.0000], [1.8397, 3.1864, 0.0000], [1.8397, 1.0621, 6.3339]], "species": ["H", "H", "Sr", "Mg"], "fractional_positions": [[0.8722, 0.8722, 0.3835], [0.1278, 0.1278, 0.6165], [0.0000, 0.0000, 0.0000], [0.5000, 0.5000, 0.5000]]}

***

(17)
{"formula": "LaPm2HoTm5", "functional": "PBE-GGA", "state": "relaxed", "magmom_total_mub_per_cell": 0.000, "energy_ev_per_cell": -78.02, "formation_enthalpy_0k_mev_per_atom": 262, "lattice": [[-3.5092, 5.3613, 5.9255], [-5.1914, -6.4495, 2.7609], [9.6658, -1.5686, 0.7163]], "species": ["Tm", "Tm", "Tm", "Tm", "Tm", "Tm", "Tm", "Tm", "Tm", "Tm", "Pm", "Pm", "Pm", "Pm", "Ho", "Ho", "La", "La"], "fractional_positions": [[0.4267, 0.3446, 0.2713], [0.1554, 0.0733, 0.7287], [0.6554, 0.1554, 0.7287], [0.9267, 0.4267, 0.2713], [0.3446, 0.8446, 0.2713], [0.5733, 0.6554, 0.7287], [0.8446, 0.9267, 0.2713], [0.0000, 0.0000, 0.0000], [0.5000, 0.5000, 0.0000], [0.0733, 0.5733, 0.7287], [0.1161, 0.3839, 0.0000], [0.6161, 0.1161, 0.0000], [0.8839, 0.6161, 0.0000], [0.3839, 0.8839, 0.0000], [0.7500, 0.2500, 0.5000], [0.2500, 0.7500, 0.5000], [0.7500, 0.7500, 0.5000], [0.2500, 0.2500, 0.5000]]}

***

(18)
{"formula": "Zn2Cd2CuAu5", "functional": "PBE-GGA", "state": "relaxed", "magmom_total_mub_per_cell": 0.000, "energy_ev_per_cell": -51.64, "formation_enthalpy_0k_mev_per_atom": -96, "lattice": [[-0.5920, 3.5877, -0.3647], [-6.3977, -0.2779, 7.6495], [7.4820, 1.8776, 6.3258]], "species": ["Cd", "Cd", "Cd", "Cd", "Zn", "Zn", "Zn", "Zn", "Au", "Au", "Au", "Au", "Au", "Au", "Au", "Au", "Au", "Au", "Cu", "Cu"], "fractional_positions": [[0.0000, 0.8364, 0.6636], [0.0000, 0.1636, 0.3364], [0.0000, 0.6636, 0.1636], [0.0000, 0.3364, 0.8364], [0.0000, 0.6337, 0.8663], [0.0000, 0.1337, 0.6337], [0.0000, 0.8663, 0.3663], [0.0000, 0.3663, 0.1337], [0.5000, 0.3990, 0.3246], [0.5000, 0.8246, 0.8990], [0.5000, 0.1010, 0.8246], [0.5000, 0.6010, 0.6754], [0.5000, 0.3246, 0.6010], [0.5000, 0.0000, 0.5000], [0.5000, 0.6754, 0.3990], [0.5000, 0.1754, 0.1010], [0.5000, 0.8990, 0.1754], [0.5000, 0.5000, 0.0000], [0.0000, 0.5000, 0.5000], [0.0000, 0.0000, 0.0000]]}

***

(19)
{"formula": "Sr2TcAu", "functional": "PBE-GGA", "state": "relaxed", "e_above_lowest_polymorph_mev_per_atom": 347.8, "magmom_total_mub_per_cell": 1.928, "energy_ev_per_cell": -14.94, "formation_enthalpy_0k_mev_per_atom": 516, "lattice": [[-5.0489, 1.1398, 0.6534], [-3.5883, -2.1800, -3.0967], [-3.2595, -3.5960, 1.9137]], "species": ["Sr", "Sr", "Au", "Tc"], "fractional_positions": [[0.0000, 0.0000, 0.0000], [0.2500, 0.2500, 0.2500], [0.5000, 0.5000, 0.5000], [0.7500, 0.7500, 0.7500]]}

***

(20)
{"formula": "K2Tl2MoSe6", "functional": "PBE-GGA", "state": "relaxed", "magmom_total_mub_per_cell": 0.002, "energy_ev_per_cell": -43.69, "raw_formation_energy_ev_per_atom": -0.4571, "lattice": [[7.8904, 0.1836, 0.3821], [-3.7403, 6.9500, 0.3821], [-1.2212, -2.0990, 6.4931]], "species": ["K", "K", "Se", "Se", "Se", "Se", "Se", "Se", "Tl", "Tl", "Mo"], "fractional_positions": [[0.3370, 0.6630, 0.5000], [0.6630, 0.3370, 0.5000], [0.9545, 0.6859, 0.2827], [0.2066, 0.2066, 0.2835], [0.7934, 0.7934, 0.7165], [0.6859, 0.9545, 0.2827], [0.3141, 0.0455, 0.7173], [0.0455, 0.3141, 0.7173], [0.1375, 0.8625, 0.0000], [0.8625, 0.1375, 0.0000], [0.0000, 0.0000, 0.5000]]}